No. 1
This record from the Alexandria database describes LaDyGaPd after structural relaxation. The functional is PBE.

Cell lengths 5.161, 5.161, 5.161 Å; angles 60.00, 60.00, 60.00 degrees
Fractional coordinates of all 4 atoms:
La: 0.000 0.000 0.000
Dy: 0.500 0.500 0.500
Ga: 0.250 0.250 0.250
Pd: 0.750 0.750 0.750

Its relative energy among the computed polymorphs is 0.053 eV/atom. The final energy comes out at -20.3 eV per formula unit.



No. 2
This record from the Alexandria database describes LaPmDyGa after structural relaxation. The functional is PBE.

Cell lengths 5.459, 5.459, 5.459 Å; angles 60.00, 60.00, 60.00 degrees
Fractional coordinates of all 4 atoms:
La: 0.000 0.000 0.000
Pm: 0.250 0.250 0.250
Dy: 0.500 0.500 0.500
Ga: 0.750 0.750 0.750

The final energy comes out at -17.6 eV per formula unit.



Number 1: total magnetization 0.00 μB per formula unit. Number 2: total magnetization 1.28 μB per formula unit.